(1)
{"formula": "MgScSn3", "functional": "GGA-PBE", "state": "optimized geometry", "cell": [[5.298, 0.000, 0.000], [0.000, 5.298, 0.000], [0.000, 0.000, 5.298]], "species": ["Mg", "Sc", "Sn", "Sn", "Sn"], "fractional_positions": [[0.000, 0.000, 0.000], [0.500, 0.500, 0.500], [0.000, 0.000, 0.500], [0.000, 0.500, 0.000], [0.500, 0.000, 0.000]], "delta_e_f_kcal_per_mol_atoms": 9.8, "total_magnetization_mub_per_fu": 0.00, "dft_energy_ev_per_atom": -3.562, "de_polymorph_ev_per_atom": 0.7363}



(2)
{"formula": "MgSc4Sn5", "functional": "GGA-PBE", "state": "optimized geometry", "cell": [[-4.581, 4.581, 2.981], [4.581, -4.581, 2.981], [4.581, 4.581, -2.981]], "species": ["Mg", "Sc", "Sc", "Sc", "Sc", "Sn", "Sn", "Sn", "Sn", "Sn"], "fractional_positions": [[0.000, 0.000, 0.000], [0.025, 0.807, 0.397], [0.410, 0.628, 0.603], [0.628, 0.025, 0.218], [0.807, 0.410, 0.782], [0.118, 0.496, 0.178], [0.318, 0.940, 0.822], [0.496, 0.318, 0.378], [0.521, 0.521, 0.000], [0.940, 0.118, 0.622]], "delta_e_f_kcal_per_mol_atoms": -6.7, "total_magnetization_mub_per_fu": 0.00, "dft_energy_ev_per_atom": -4.985}



(3)
{"formula": "Mg2ScSn2", "functional": "GGA-PBE", "state": "optimized geometry", "cell": [[-2.143, 2.143, 6.691], [2.143, -2.143, 6.691], [2.143, 2.143, -6.691]], "species": ["Mg", "Mg", "Sc", "Sn", "Sn"], "fractional_positions": [[0.250, 0.750, 0.500], [0.750, 0.250, 0.500], [0.000, 0.000, 0.000], [0.396, 0.396, 0.000], [0.604, 0.604, 0.000]], "delta_e_f_kcal_per_mol_atoms": -3.1, "total_magnetization_mub_per_fu": 0.00, "dft_energy_ev_per_atom": -3.641, "de_polymorph_ev_per_atom": 0.1691}